# 1
A plane-wave DFT calculation with PBE was carried out for Li3TlSb4O12 after structural relaxation.

```
20
Lattice="-2.174 0.866 6.260 4.245 -5.158 -0.190 3.127 5.536 -2.058" Properties=species:S:1:pos:R:3 pbc="T T T"
Li 3.686 0.189 -1.124
Li 1.036 -2.146 3.035
Li 0.476 3.201 2.101
Tl 0.000 0.000 0.000
Sb -1.087 0.433 3.130
Sb 2.599 0.622 2.006
Sb 2.123 -2.579 -0.095
Sb 1.563 2.768 -1.029
O 3.103 -3.251 1.547
O 2.095 4.495 2.464
O 3.466 -0.810 3.150
O 1.616 -1.717 5.011
O -0.298 1.819 4.381
O 2.684 -0.720 0.488
O 0.826 -0.080 2.696
O 5.496 -0.575 -0.370
O 1.732 2.054 0.861
O 3.582 2.961 -1.000
O 2.514 1.964 3.524
O 4.372 1.324 1.315
```

Calculated values
The formation energy (no corrections) is -2810.1 kJ/mol of formula units. The calculation puts the density of states at the Fermi level at 0.06 states/eV/atom. As for the symmetry: Im-3, No. 204.

***

# 2
A plane-wave DFT calculation with PBE was carried out for LiTl2SbO4 after structural relaxation.

```
16
Lattice="5.370 0.000 0.000 2.685 6.051 0.000 2.685 0.000 9.675" Properties=species:S:1:pos:R:3 pbc="T T T"
Li 6.712 3.025 4.838
Li 0.000 0.000 0.000
Tl 2.685 0.000 6.152
Tl 5.370 0.000 3.523
Tl 6.712 3.025 8.361
Tl 6.712 3.025 1.315
Sb 4.027 3.025 4.838
Sb 2.685 0.000 0.000
O 4.095 4.886 0.841
O 4.095 1.165 8.835
O 9.329 4.886 8.835
O 3.959 1.165 0.841
O 5.302 4.191 3.997
O 5.302 1.860 5.678
O 8.122 4.191 5.678
O 2.753 1.860 3.997
```

Calculated values
The formation energy (no corrections) is -827.3 kJ/mol of formula units. The calculation puts the density of states at the Fermi level at 0.00 states/eV/atom. As for the symmetry: Fddd, No. 70.

***

# 3
A plane-wave DFT calculation with PBE was carried out for Li2Tl2SbO6 after structural relaxation.

```
11
Lattice="5.390 0.000 0.000 -2.695 4.668 0.000 0.000 0.000 5.383" Properties=species:S:1:pos:R:3 pbc="T T T"
Li 0.000 3.112 5.381
Li 2.695 1.556 0.002
Tl 0.000 3.112 2.689
Tl 2.695 1.556 2.693
Sb 0.000 0.000 0.000
O 0.860 1.490 4.257
O -1.834 3.178 4.257
O 0.975 4.667 4.257
O 1.835 3.177 1.126
O 4.529 1.490 1.126
O 1.720 0.001 1.126
```

Calculated values
The formation energy (no corrections) is -1243.3 kJ/mol of formula units. The calculation puts the density of states at the Fermi level at 0.13 states/eV/atom. As for the symmetry: P-31m, No. 162.

***

# 4
A plane-wave DFT calculation with PBE was carried out for LiTm2SbO6 after structural relaxation.

```
10
Lattice="-3.127 -4.521 0.460 2.100 -4.946 -1.252 1.161 -3.714 4.466" Properties=species:S:1:pos:R:3 pbc="T T T"
Li -0.035 -9.835 2.332
Tm -0.056 -6.545 1.451
Tm 1.068 -3.679 4.174
Sb -0.298 -3.172 -0.125
O -1.075 -4.626 0.996
O 1.553 -6.628 -0.076
O -1.506 -8.061 0.728
O 1.027 -8.153 2.729
O -1.017 -6.584 3.565
O 1.372 -5.473 2.936
```

Calculated values
The formation energy (no corrections) is -2568.2 kJ/mol of formula units. The calculation puts the density of states at the Fermi level at 0.00 states/eV/atom. As for the symmetry: R3, No. 146.

***

# 5
A plane-wave DFT calculation with PBE was carried out for LiTmSb2O8 after structural relaxation.

```
12
Lattice="5.837 0.000 0.000 -2.918 5.055 0.000 0.000 0.000 6.733" Properties=species:S:1:pos:R:3 pbc="T T T"
Li 0.000 0.000 3.366
Tm 0.000 0.000 0.000
Sb 2.918 1.685 0.260
Sb 0.000 3.370 6.473
O 3.692 3.179 5.847
O 1.238 1.608 5.847
O 3.825 0.268 5.847
O -0.774 1.876 0.886
O 1.680 3.447 0.886
O -0.907 4.787 0.886
O 2.918 1.685 2.237
O 0.000 3.370 4.496
```

Calculated values
The formation energy (no corrections) is -1438.3 kJ/mol of formula units. The calculation puts the density of states at the Fermi level at 0.92 states/eV/atom. As for the symmetry: P-3, No. 147.

***

# 6
A plane-wave DFT calculation with PBE was carried out for Li2USbO8 after structural relaxation.

```
12
Lattice="-1.871 5.479 0.182 -1.422 -1.583 -5.388 -2.364 -3.367 4.078" Properties=species:S:1:pos:R:3 pbc="T T T"
Li -2.941 2.030 0.829
Li -1.647 1.948 -2.603
U -2.717 -1.501 -1.956
Sb 0.000 0.000 0.000
O -1.437 0.823 1.043
O -1.709 0.174 -1.785
O -2.589 -1.252 2.806
O -3.110 1.658 2.725
O -3.156 3.166 -2.841
O -2.861 3.798 0.033
O -4.356 1.843 -0.485
O -3.860 -1.029 -0.434
```

Calculated values
The formation energy (no corrections) is -1853.1 kJ/mol of formula units. The calculation puts the density of states at the Fermi level at 0.63 states/eV/atom. As for the symmetry: I-4m2, No. 119.

***

# 7
A plane-wave DFT calculation with PBE was carried out for LiUSbO6 after structural relaxation.

```
18
Lattice="5.484 0.000 0.000 -2.742 4.750 0.000 0.000 0.000 9.508" Properties=species:S:1:pos:R:3 pbc="T T T"
Li 0.000 0.000 0.000
Li 0.000 0.000 4.754
U 2.742 1.583 2.377
U 0.000 3.166 7.131
Sb 0.000 3.166 2.377
Sb 2.742 1.583 7.131
O 1.708 3.080 1.300
O -0.929 1.731 1.300
O 1.963 0.061 6.054
O 3.671 3.019 8.208
O 0.929 1.731 3.454
O -1.708 3.080 3.454
O 3.521 0.061 8.208
O 0.779 4.689 3.454
O 4.450 1.670 6.054
O -0.779 4.689 1.300
O 1.813 3.019 6.054
O 1.034 1.670 8.208
```

Calculated values
The formation energy (no corrections) is -1849.9 kJ/mol of formula units. The calculation puts the density of states at the Fermi level at 0.00 states/eV/atom. As for the symmetry: P-31c, No. 163.

***

# 8
A plane-wave DFT calculation with PBE was carried out for Li2USbO6 after structural relaxation.

```
10
Lattice="-2.337 -2.265 -2.494 -1.554 -3.397 4.542 -4.575 3.534 1.078" Properties=species:S:1:pos:R:3 pbc="T T T"
Li -2.835 -3.693 0.075
Li -4.346 -0.228 -1.657
U -4.665 -1.482 1.102
Sb -1.617 -1.567 -1.725
O -3.180 -1.616 -0.461
O -5.548 0.213 0.097
O -3.510 -0.363 2.335
O -0.483 -0.468 -0.515
O -6.353 -1.545 2.448
O -3.984 -3.375 1.891
```

Calculated values
The formation energy (no corrections) is -2081.4 kJ/mol of formula units. The calculation puts the density of states at the Fermi level at 0.35 states/eV/atom. As for the symmetry: P4mm, No. 99.